Material: Er2PaTcC4
Method: DFT, PBE
State: optimized geometry

Geometry as POSCAR:
```
Er2PaTcC4
1.0
-2.609 1.821 1.297
-0.370 -5.575 2.533
7.029 3.638 9.034
Er Tc C Pa
4 2 8 2
Cartesian
2.567 -1.481 7.244
-1.449 -0.153 1.851
5.499 0.036 11.013
1.483 1.364 5.619
2.844 0.510 9.557
1.206 -0.627 3.306
3.801 -1.369 9.570
0.024 -2.056 2.935
2.383 1.089 7.817
4.026 1.939 9.929
0.249 1.253 3.294
3.514 1.819 4.517
0.000 0.000 0.000
1.667 -1.205 5.047
-0.906 -1.966 5.488
4.956 1.849 7.375
```

Values from the calculation:
The formation energy from the elements comes out at -0.7 eV per formula unit. The value obtained for the total energy is -0.611 Ry per atom.